Record 1
A plane-wave DFT calculation with GGA-PBE was carried out for a geometry-optimized Sm2Y2Tm5 structure.

a b c (Å): 10.0282 10.0282 10.0282
angles (deg): 84.45 108.54 141.15
Closest atoms and distances in Å follow each position.
Fractional coordinates of all 18 atoms:
Sm (0.0000, 0.0000, 0.0000)  4 Tm 3.22-3.56, 2 Y 3.54
Sm (0.0000, 0.5000, 0.5000)  4 Tm 3.22-3.56, 2 Y 3.54
Sm (0.0874, 0.8496, 0.7378)  4 Tm 3.33-3.67, 2 Y 3.53
Sm (0.1118, 0.3496, 0.2622)  4 Tm 3.33-3.67, 2 Y 3.53
Y (0.5432, 0.6767, 0.1197)  4 Tm 3.31-3.65, 2 Sm 3.53-3.54, 1 Y 3.67
Y (0.5432, 0.9235, 0.3665)  4 Tm 3.31-3.65, 2 Sm 3.53-3.54, 1 Y 3.67
Y (0.5570, 0.1767, 0.6335)  4 Tm 3.31-3.65, 2 Sm 3.53-3.54, 1 Y 3.67
Y (0.5570, 0.4235, 0.8803)  4 Tm 3.31-3.65, 2 Sm 3.53-3.54, 1 Y 3.67
Tm (0.1268, 0.0323, 0.3788)  4 Tm 3.17-3.35, 1 Y 3.35, 1 Sm 3.38
Tm (0.1268, 0.2480, 0.5945)  4 Tm 3.17-3.35, 1 Y 3.35, 1 Sm 3.38
Tm (0.1386, 0.6420, 0.9967)  4 Tm 3.20-3.34, 1 Sm 3.33, 2 Y 3.58
Tm (0.4421, 0.1485, 0.1880)  4 Tm 3.17-3.34, 1 Sm 3.22, 1 Y 3.31
Tm (0.4421, 0.7541, 0.7936)  4 Tm 3.17-3.34, 1 Sm 3.22, 1 Y 3.31
Tm (0.6453, 0.1420, 0.0033)  4 Tm 3.20-3.34, 1 Sm 3.33, 2 Y 3.58
Tm (0.6535, 0.5323, 0.4055)  4 Tm 3.17-3.35, 1 Y 3.35, 1 Sm 3.38
Tm (0.6535, 0.7480, 0.6212)  4 Tm 3.17-3.35, 1 Y 3.35, 1 Sm 3.38
Tm (0.9605, 0.2541, 0.8120)  4 Tm 3.17-3.34, 1 Sm 3.22, 1 Y 3.31
Tm (0.9605, 0.6485, 0.2064)  4 Tm 3.17-3.34, 1 Sm 3.22, 1 Y 3.31

Results
**Symmetry**: Ima2 (46)
**DOS(E_F)**: 29.72 states/eV per cell
**Volume**: 32.23 Å³ per atom
**M_tot**: 0.00 μB per cell
**Energy relative to the lowest polymorph listed for this composition**: 178 meV/atom

***

Record 2
A plane-wave DFT calculation with GGA-PBE was carried out for a geometry-optimized InCoAs2 structure.

a b c (Å): 4.3913 4.3913 7.3795
angles (deg): 90.00 90.00 90.00
Closest atoms and distances in Å follow each position.
Fractional coordinates of all 8 atoms:
In (0.0000, 0.0000, 0.0000)  8 As 2.87, 4 Co 3.11
In (0.5000, 0.5000, 0.5000)  8 As 2.87, 4 Co 3.11
Co (0.0000, 0.0000, 0.5000)  8 As 2.87, 4 In 3.11
Co (0.5000, 0.5000, 0.0000)  8 As 2.87, 4 In 3.11
As (0.0000, 0.5000, 0.2500)  4 Co 2.87, 4 In 2.87, 4 As 3.11
As (0.0000, 0.5000, 0.7500)  4 Co 2.87, 4 In 2.87, 4 As 3.11
As (0.5000, 0.0000, 0.2500)  4 Co 2.87, 4 In 2.87, 4 As 3.11
As (0.5000, 0.0000, 0.7500)  4 Co 2.87, 4 In 2.87, 4 As 3.11

Results
**Symmetry**: I4/mmm (139)
**E**: -35.01 eV/cell
**DOS(E_F)**: 4.93 states/eV per cell
**Volume**: 17.79 Å³ per atom
**M_tot**: 0.00 μB per cell

***

Record 3
A plane-wave DFT calculation with GGA-PBE was carried out for a geometry-optimized Cs2RbGaP2 structure.

a b c (Å): 9.4462 9.4462 9.4462
angles (deg): 129.51 67.74 137.95
Closest atoms and distances in Å follow each position.
Fractional coordinates of all 12 atoms:
Cs (0.1746, 0.2090, 0.3836)  3 P 3.39-3.72, 2 Ga 3.63
Cs (0.3254, 0.7090, 0.0344)  3 P 3.39-3.72, 2 Ga 3.63
Cs (0.6746, 0.2910, 0.9656)  3 P 3.39-3.72, 2 Ga 3.63
Cs (0.8254, 0.7910, 0.6164)  3 P 3.39-3.72, 2 Ga 3.63
Rb (0.2500, 0.7500, 0.5000)  2 Rb 3.39, 4 P 3.39
Rb (0.7500, 0.2500, 0.5000)  2 Rb 3.39, 4 P 3.39
Ga (0.2500, 0.2500, 0.0000)  4 P 2.50
Ga (0.7500, 0.7500, 0.0000)  4 P 2.50
P (0.0787, 0.8314, 0.9101)  2 Ga 2.50
P (0.4213, 0.3314, 0.7526)  2 Ga 2.50
P (0.5787, 0.6686, 0.2474)  2 Ga 2.50
P (0.9213, 0.1686, 0.0899)  2 Ga 2.50

Results
**Symmetry**: Ibam (72)
**E**: -37.48 eV/cell
**Volume**: 35.69 Å³ per atom
**M_tot**: 0.00 μB per cell

***

Record 4
A plane-wave DFT calculation with GGA-PBE was carried out for a geometry-optimized TlMo2Rh structure.

a b c (Å): 2.8338 4.0174 5.9958
angles (deg): 90.00 90.00 90.00
Closest atoms and distances in Å follow each position.
Fractional coordinates of all 4 atoms:
Tl (0.0000, 0.0000, 0.0000)  2 Tl 2.83, 4 Rh 2.92, 6 Mo 2.94-3.06
Mo (0.0000, 0.0000, 0.5101)  4 Rh 2.81, 6 Mo 2.82-2.83, 2 Tl 2.94-3.06
Mo (0.5000, 0.5000, 0.2813)  1 Rh 2.73, 6 Mo 2.82-2.83, 4 Tl 2.98
Rh (0.5000, 0.5000, 0.7367)  5 Mo 2.73-2.81, 2 Rh 2.83, 4 Tl 2.92

Results
**Symmetry**: Pmm2 (25)
**DOS(E_F)**: 3.48 states/eV per cell
**Volume**: 17.06 Å³ per atom
**M_tot**: 0.00 μB per cell
**Energy relative to the lowest polymorph listed for this composition**: 78 meV/atom

***

Record 5
A plane-wave DFT calculation with GGA-PBE was carried out for a geometry-optimized Ir3Os structure.

a b c (Å): 6.2227 6.2227 6.2227
angles (deg): 90.00 90.00 90.00
Closest atoms and distances in Å follow each position.
Fractional coordinates of all 16 atoms:
Ir (0.0000, 0.0000, 0.0000)  8 Ir 2.69
Ir (0.0000, 0.5000, 0.5000)  8 Ir 2.69
Ir (0.2500, 0.2500, 0.2500)  4 Os 2.69, 4 Ir 2.69
Ir (0.2500, 0.2500, 0.7500)  4 Os 2.69, 4 Ir 2.69
Ir (0.2500, 0.7500, 0.2500)  4 Os 2.69, 4 Ir 2.69
Ir (0.2500, 0.7500, 0.7500)  4 Os 2.69, 4 Ir 2.69
Ir (0.5000, 0.0000, 0.5000)  8 Ir 2.69
Ir (0.5000, 0.5000, 0.0000)  8 Ir 2.69
Ir (0.7500, 0.2500, 0.2500)  4 Os 2.69, 4 Ir 2.69
Ir (0.7500, 0.2500, 0.7500)  4 Os 2.69, 4 Ir 2.69
Ir (0.7500, 0.7500, 0.2500)  4 Os 2.69, 4 Ir 2.69
Ir (0.7500, 0.7500, 0.7500)  4 Ir 2.69, 4 Os 2.69
Os (0.0000, 0.0000, 0.5000)  8 Ir 2.69
Os (0.0000, 0.5000, 0.0000)  8 Ir 2.69
Os (0.5000, 0.0000, 0.0000)  8 Ir 2.69
Os (0.5000, 0.5000, 0.5000)  8 Ir 2.69

Results
**Symmetry**: Fm-3m (225)
**E**: -140.25 eV/cell
**DOS(E_F)**: 20.60 states/eV per cell
**Volume**: 15.06 Å³ per atom
**M_tot**: 8.88 μB per cell

***

Record 6
A plane-wave DFT calculation with GGA-PBE was carried out for a geometry-optimized CePm3Sn5 structure.

a b c (Å): 9.5853 9.5853 6.4134
angles (deg): 90.00 90.00 120.00
Closest atoms and distances in Å follow each position.
Fractional coordinates of all 18 atoms:
Ce (0.0000, 0.0000, 0.0000)  2 Ce 3.21, 6 Sn 3.21
Ce (0.0000, 0.0000, 0.5000)  2 Ce 3.21, 6 Sn 3.21
Pm (0.0000, 0.3796, 0.2500)  9 Sn 3.16-3.40
Pm (0.0000, 0.6204, 0.7500)  9 Sn 3.16-3.40
Pm (0.3796, 0.0000, 0.2500)  9 Sn 3.16-3.40
Pm (0.3796, 0.3796, 0.7500)  9 Sn 3.16-3.40
Pm (0.6204, 0.0000, 0.7500)  9 Sn 3.16-3.40
Pm (0.6204, 0.6204, 0.2500)  9 Sn 3.16-3.40
Sn (0.0000, 0.2905, 0.7500)  5 Pm 3.16-3.32, 2 Ce 3.21
Sn (0.0000, 0.7095, 0.2500)  5 Pm 3.16-3.32, 2 Ce 3.21
Sn (0.2905, 0.0000, 0.7500)  5 Pm 3.16-3.32, 2 Ce 3.21
Sn (0.2905, 0.2905, 0.2500)  5 Pm 3.16-3.32, 2 Ce 3.21
Sn (0.3333, 0.6667, 0.0000)  2 Sn 3.21, 6 Pm 3.40
Sn (0.3333, 0.6667, 0.5000)  2 Sn 3.21, 6 Pm 3.40
Sn (0.6667, 0.3333, 0.0000)  2 Sn 3.21, 6 Pm 3.40
Sn (0.6667, 0.3333, 0.5000)  2 Sn 3.21, 6 Pm 3.40
Sn (0.7095, 0.0000, 0.2500)  5 Pm 3.16-3.32, 2 Ce 3.21
Sn (0.7095, 0.7095, 0.7500)  5 Pm 3.16-3.32, 2 Ce 3.21

Results
**Symmetry**: P6_3/mcm (193)
**E**: -91.32 eV/cell
**DOS(E_F)**: 21.79 states/eV per cell
**Volume**: 28.35 Å³ per atom
**M_tot**: 1.57 μB per cell

***

Record 7
A plane-wave DFT calculation with GGA-PBE was carried out for a geometry-optimized CrFe2P structure.

a b c (Å): 4.9562 4.9562 9.9817
angles (deg): 90.00 90.00 90.00
Closest atoms and distances in Å follow each position.
Fractional coordinates of all 16 atoms:
Cr (0.0000, 0.0000, 0.0000)  4 Fe 2.16
Cr (0.0000, 0.5000, 0.2500)  4 Fe 2.16
Cr (0.5000, 0.0000, 0.7500)  4 Fe 2.16
Cr (0.5000, 0.5000, 0.5000)  4 Fe 2.16
Fe (0.2472, 0.2500, 0.6250)  2 P 2.14, 2 Cr 2.16
Fe (0.2500, 0.7472, 0.8750)  2 P 2.14, 2 Cr 2.16
Fe (0.2500, 0.7528, 0.3750)  2 P 2.14, 2 Cr 2.16
Fe (0.2528, 0.2500, 0.1250)  2 P 2.14, 2 Cr 2.16
Fe (0.7472, 0.7500, 0.1250)  2 P 2.14, 2 Cr 2.16
Fe (0.7500, 0.2472, 0.3750)  2 P 2.14, 2 Cr 2.16
Fe (0.7500, 0.2528, 0.8750)  2 P 2.14, 2 Cr 2.16
Fe (0.7528, 0.7500, 0.6250)  2 P 2.14, 2 Cr 2.16
P (0.0000, 0.0000, 0.5000)  4 Fe 2.14
P (0.0000, 0.5000, 0.7500)  4 Fe 2.14
P (0.5000, 0.0000, 0.2500)  4 Fe 2.14
P (0.5000, 0.5000, 0.0000)  4 Fe 2.14

Results
**Symmetry**: I-42d (122)
**E**: -117.63 eV/cell
**DOS(E_F)**: 11.10 states/eV per cell
**Volume**: 15.32 Å³ per atom
**M_tot**: 0.00 μB per cell

***

Record 8
A plane-wave DFT calculation with GGA-PBE was carried out for a geometry-optimized PmFeSbPd structure.

a b c (Å): 6.7893 6.7893 6.7893
angles (deg): 90.00 90.00 90.00
Closest atoms and distances in Å follow each position.
Fractional coordinates of all 16 atoms:
Pm (0.0000, 0.0000, 0.0000)  4 Pd 2.94, 4 Fe 2.94
Pm (0.0000, 0.5000, 0.5000)  4 Pd 2.94, 4 Fe 2.94
Pm (0.5000, 0.0000, 0.5000)  4 Pd 2.94, 4 Fe 2.94
Pm (0.5000, 0.5000, 0.0000)  4 Pd 2.94, 4 Fe 2.94
Fe (0.2500, 0.2500, 0.2500)  4 Pm 2.94, 4 Sb 2.94
Fe (0.2500, 0.7500, 0.7500)  4 Pm 2.94, 4 Sb 2.94
Fe (0.7500, 0.2500, 0.7500)  4 Pm 2.94, 4 Sb 2.94
Fe (0.7500, 0.7500, 0.2500)  4 Pm 2.94, 4 Sb 2.94
Sb (0.0000, 0.0000, 0.5000)  4 Fe 2.94, 4 Pd 2.94
Sb (0.0000, 0.5000, 0.0000)  4 Fe 2.94, 4 Pd 2.94
Sb (0.5000, 0.0000, 0.0000)  4 Fe 2.94, 4 Pd 2.94
Sb (0.5000, 0.5000, 0.5000)  4 Fe 2.94, 4 Pd 2.94
Pd (0.2500, 0.2500, 0.7500)  4 Sb 2.94, 4 Pm 2.94
Pd (0.2500, 0.7500, 0.2500)  4 Sb 2.94, 4 Pm 2.94
Pd (0.7500, 0.2500, 0.2500)  4 Sb 2.94, 4 Pm 2.94
Pd (0.7500, 0.7500, 0.7500)  4 Sb 2.94, 4 Pm 2.94

Results
**Symmetry**: F-43m (216)
**DOS(E_F)**: 19.65 states/eV per cell
**Volume**: 19.56 Å³ per atom
**Formation energy from raw total energies**: -0.316 eV per atom
**M_tot**: 8.94 μB per cell

***

Q: The highest M_tot belongs to which entry?
A: PmFeSbPd

***

Q: M_tot of number 5 (Ir3Os)?
A: 8.88 μB per cell